# 1
A plane-wave DFT calculation with PBE was carried out for a geometry-optimized TmThRh4 structure.

Cell lengths 5.3711, 5.3711, 5.3711 Å; angles 60.00, 60.00, 60.00 degrees
Last column: nearest neighbours and their distance in Å.
Fractional positions:
Tm: 0.0000 0.0000 0.0000  12 Rh 3.15, 4 Th 3.29
Th: 0.7500 0.7500 0.7500  12 Rh 3.15, 4 Tm 3.29
Rh: 0.3745 0.3745 0.3745  6 Rh 2.67-2.70
Rh: 0.3745 0.3745 0.8766  6 Rh 2.67-2.70
Rh: 0.3745 0.8766 0.3745  6 Rh 2.67-2.70
Rh: 0.8766 0.3745 0.3745  6 Rh 2.67-2.70

Summary:
- Space-group type: No. 216
- Formation energy: -441 kJ/mol of formula units
- Total magnetization: 0.000 μB/atom



# 2
A plane-wave DFT calculation with PBE was carried out for a geometry-optimized Tm5ThRh6 structure.

Cell lengths 4.7788, 6.9911, 7.5499 Å; angles 90.00, 108.34, 90.00 degrees
Last column: nearest neighbours and their distance in Å.
Fractional positions:
Tm: 0.0000 0.0000 0.0000  8 Rh 2.94-2.95
Tm: 0.3286 0.5000 0.6574  8 Rh 2.93-3.02
Tm: 0.3321 0.0000 0.6646  8 Rh 2.95-2.96
Tm: 0.6679 0.0000 0.3354  8 Rh 2.95-2.96
Tm: 0.6714 0.5000 0.3426  8 Rh 2.93-3.02
Th: 0.0000 0.5000 0.0000  8 Rh 2.95-2.97
Rh: 0.1660 0.2483 0.3312  7 Tm 2.93-2.97, 1 Th 2.95
Rh: 0.1660 0.7517 0.3312  7 Tm 2.93-2.97, 1 Th 2.95
Rh: 0.5000 0.2482 0.0000  6 Tm 2.95-3.02, 2 Th 2.97
Rh: 0.5000 0.7518 0.0000  6 Tm 2.95-3.02, 2 Th 2.97
Rh: 0.8340 0.2483 0.6688  7 Tm 2.93-2.97, 1 Th 2.95
Rh: 0.8340 0.7517 0.6688  7 Tm 2.93-2.97, 1 Th 2.95

Summary:
- Space-group type: No. 10
- Formation energy: -1084 kJ/mol of formula units
- Total magnetization: 0.000 μB/atom



# 3
A plane-wave DFT calculation with PBE was carried out for a geometry-optimized Tm3Th2Rh2 structure.

Cell lengths 12.0158, 3.7017, 9.0294 Å; angles 90.00, 114.90, 90.00 degrees
Last column: nearest neighbours and their distance in Å.
Fractional positions:
Tm: 0.0000 0.0000 0.0000  4 Rh 2.95
Tm: 0.1158 0.0000 0.4307  3 Rh 2.82-2.98
Tm: 0.3842 0.5000 0.5693  3 Rh 2.82-2.98
Tm: 0.5000 0.5000 0.0000  4 Rh 2.95
Tm: 0.6158 0.5000 0.4307  3 Rh 2.82-2.98
Tm: 0.8842 0.0000 0.5693  3 Rh 2.82-2.98
Th: 0.1693 0.5000 0.8181  2 Rh 2.83
Th: 0.3307 0.0000 0.1819  2 Rh 2.83
Th: 0.6693 0.0000 0.8181  2 Rh 2.83
Th: 0.8307 0.5000 0.1819  2 Rh 2.83
Rh: 0.1754 0.5000 0.2400  5 Tm 2.82-2.98, 2 Th 2.83
Rh: 0.3246 0.0000 0.7600  5 Tm 2.82-2.98, 2 Th 2.83
Rh: 0.6754 0.0000 0.2400  5 Tm 2.82-2.98, 2 Th 2.83
Rh: 0.8246 0.5000 0.7600  5 Tm 2.82-2.98, 2 Th 2.83

Summary:
- Space-group type: No. 12
- Formation energy: -397 kJ/mol of formula units
- Total magnetization: 0.000 μB/atom



# 4
A plane-wave DFT calculation with PBE was carried out for a geometry-optimized TmThRh2 structure.

Cell lengths 4.9150, 4.9150, 3.5020 Å; angles 90.00, 90.00, 90.00 degrees
Last column: nearest neighbours and their distance in Å.
Fractional positions:
Tm: 0.0000 0.0000 0.0000  8 Rh 3.02
Th: 0.5000 0.5000 0.0000  8 Rh 3.02
Rh: 0.0000 0.5000 0.5000  4 Th 3.02, 4 Tm 3.02
Rh: 0.5000 0.0000 0.5000  4 Th 3.02, 4 Tm 3.02

Summary:
- Space-group type: No. 123
- Formation energy: -330 kJ/mol of formula units
- Total magnetization: 0.000 μB/atom



# 5
A plane-wave DFT calculation with PBE was carried out for a geometry-optimized TmTh2Rh structure.

Cell lengths 3.7595, 10.0502, 6.1283 Å; angles 90.00, 107.79, 90.00 degrees
Last column: nearest neighbours and their distance in Å.
Fractional positions:
Tm: 0.0852 0.2500 0.1707  2 Rh 3.03
Tm: 0.9148 0.7500 0.8293  2 Rh 3.03
Th: 0.3643 0.0585 0.7281  2 Rh 2.83
Th: 0.3643 0.4415 0.7281  2 Rh 2.83
Th: 0.6357 0.5585 0.2719  2 Rh 2.83
Th: 0.6357 0.9415 0.2719  2 Rh 2.83
Rh: 0.2109 0.7500 0.4222  4 Th 2.83, 2 Tm 3.03
Rh: 0.7891 0.2500 0.5778  4 Th 2.83, 2 Tm 3.03

Summary:
- E above lowest polymorph: 0 meV/atom
- Space-group type: No. 11
- Formation energy: -180 kJ/mol of formula units
- Total magnetization: 0.000 μB/atom



# 6
A plane-wave DFT calculation with PBE was carried out for a geometry-optimized ThU2Rh9 structure.

Cell lengths 4.0564, 4.0564, 12.2054 Å; angles 90.00, 90.00, 90.00 degrees
Last column: nearest neighbours and their distance in Å.
Fractional positions:
Th: 0.0000 0.0000 0.0000  12 Rh 2.87-2.99
U: 0.0000 0.0000 0.3346  12 Rh 2.77-2.87
U: 0.0000 0.0000 0.6654  12 Rh 2.77-2.87
Rh: 0.0000 0.5000 0.1803  2 U 2.77, 8 Rh 2.80-2.99, 2 Th 2.99
Rh: 0.0000 0.5000 0.5000  8 Rh 2.83-2.87, 4 U 2.86
Rh: 0.0000 0.5000 0.8197  2 U 2.77, 8 Rh 2.80-2.99, 2 Th 2.99
Rh: 0.5000 0.0000 0.1803  2 U 2.77, 8 Rh 2.80-2.99, 2 Th 2.99
Rh: 0.5000 0.0000 0.5000  8 Rh 2.83-2.87, 4 U 2.86
Rh: 0.5000 0.0000 0.8197  2 U 2.77, 8 Rh 2.80-2.99, 2 Th 2.99
Rh: 0.5000 0.5000 0.0000  4 Th 2.87, 8 Rh 2.99
Rh: 0.5000 0.5000 0.3387  8 Rh 2.80-2.83, 4 U 2.87
Rh: 0.5000 0.5000 0.6613  8 Rh 2.80-2.83, 4 U 2.87

Summary:
- Space-group type: No. 123
- Formation energy: -821 kJ/mol of formula units
- Total magnetization: 0.000 μB/atom



# 7
A plane-wave DFT calculation with PBE was carried out for a geometry-optimized Th3URh12 structure.

Cell lengths 4.0998, 4.0998, 16.4634 Å; angles 90.00, 90.00, 90.00 degrees
Last column: nearest neighbours and their distance in Å.
Fractional positions:
Th: 0.0000 0.0000 0.0000  12 Rh 2.90-2.93
Th: 0.0000 0.0000 0.2522  12 Rh 2.90-3.00
Th: 0.0000 0.0000 0.7478  12 Rh 2.90-3.00
U: 0.0000 0.0000 0.5000  12 Rh 2.79-2.90
Rh: 0.0000 0.5000 0.1268  8 Rh 2.90-2.94, 4 Th 2.91-2.93
Rh: 0.0000 0.5000 0.3849  2 U 2.79, 8 Rh 2.79-2.97, 2 Th 3.00
Rh: 0.0000 0.5000 0.6151  2 U 2.79, 8 Rh 2.79-2.97, 2 Th 3.00
Rh: 0.0000 0.5000 0.8732  8 Rh 2.90-2.94, 4 Th 2.91-2.93
Rh: 0.5000 0.0000 0.1268  8 Rh 2.90-2.94, 4 Th 2.91-2.93
Rh: 0.5000 0.0000 0.3849  2 U 2.79, 8 Rh 2.79-2.97, 2 Th 3.00
Rh: 0.5000 0.0000 0.6151  2 U 2.79, 8 Rh 2.79-2.97, 2 Th 3.00
Rh: 0.5000 0.0000 0.8732  8 Rh 2.90-2.94, 4 Th 2.91-2.93
Rh: 0.5000 0.5000 0.0000  4 Th 2.90, 8 Rh 2.93
Rh: 0.5000 0.5000 0.2546  4 Th 2.90, 8 Rh 2.94-2.97
Rh: 0.5000 0.5000 0.5000  8 Rh 2.79, 4 U 2.90
Rh: 0.5000 0.5000 0.7454  4 Th 2.90, 8 Rh 2.94-2.97

Summary:
- Space-group type: No. 123
- Formation energy: -1115 kJ/mol of formula units
- Total magnetization: 0.000 μB/atom



# 8
A plane-wave DFT calculation with PBE was carried out for a geometry-optimized ThURh2 structure.

Cell lengths 4.0509, 4.0509, 19.4884 Å; angles 90.00, 90.00, 120.00 degrees
Last column: nearest neighbours and their distance in Å.
Fractional positions:
Th: 0.0000 0.0000 0.0000  6 Rh 2.92
Th: 0.3333 0.6667 0.6667  6 Rh 2.92
Th: 0.6667 0.3333 0.3333  6 Rh 2.92
U: 0.0000 0.0000 0.5000  6 Rh 2.77
U: 0.3333 0.6667 0.1667  6 Rh 2.77
U: 0.6667 0.3333 0.8333  6 Rh 2.77
Rh: 0.0000 0.0000 0.2433  3 U 2.77, 3 Th 2.92
Rh: 0.0000 0.0000 0.7567  3 U 2.77, 3 Th 2.92
Rh: 0.3333 0.6667 0.4234  3 U 2.77, 3 Th 2.92
Rh: 0.3333 0.6667 0.9100  3 U 2.77, 3 Th 2.92
Rh: 0.6667 0.3333 0.0900  3 U 2.77, 3 Th 2.92
Rh: 0.6667 0.3333 0.5766  3 U 2.77, 3 Th 2.92

Summary:
- Space-group type: No. 166
- Formation energy: -221 kJ/mol of formula units
- Total magnetization: 0.385 μB/atom



# 9
A plane-wave DFT calculation with PBE was carried out for a geometry-optimized ThURh6 structure.

Cell lengths 4.0737, 4.0737, 8.1800 Å; angles 90.00, 90.00, 90.00 degrees
Last column: nearest neighbours and their distance in Å.
Fractional positions:
Th: 0.0000 0.0000 0.0000  12 Rh 2.88-2.98
U: 0.0000 0.0000 0.5000  12 Rh 2.79-2.88
Rh: 0.0000 0.5000 0.2666  2 U 2.79, 8 Rh 2.79-2.98, 2 Th 2.98
Rh: 0.0000 0.5000 0.7334  2 U 2.79, 8 Rh 2.79-2.98, 2 Th 2.98
Rh: 0.5000 0.0000 0.2666  2 U 2.79, 8 Rh 2.79-2.98, 2 Th 2.98
Rh: 0.5000 0.0000 0.7334  2 U 2.79, 8 Rh 2.79-2.98, 2 Th 2.98
Rh: 0.5000 0.5000 0.0000  4 Th 2.88, 8 Rh 2.98
Rh: 0.5000 0.5000 0.5000  8 Rh 2.79, 4 U 2.88

Summary:
- Space-group type: No. 123
- Formation energy: -561 kJ/mol of formula units
- Total magnetization: 0.000 μB/atom



# 10
A plane-wave DFT calculation with PBE was carried out for a geometry-optimized Th2VRh6 structure.

Cell lengths 6.1267, 6.1267, 6.1267 Å; angles 59.93, 59.93, 59.93 degrees
Last column: nearest neighbours and their distance in Å.
Fractional positions:
Th: 0.2501 0.2501 0.2501  12 Rh 3.06-3.07
Th: 0.7499 0.7499 0.7499  12 Rh 3.06-3.07
V: 0.0000 0.0000 0.0000  6 Rh 2.34
Rh: 0.2695 0.7300 0.7300  1 V 2.34
Rh: 0.2700 0.2700 0.7305  1 V 2.34
Rh: 0.2700 0.7305 0.2700  1 V 2.34
Rh: 0.7300 0.2695 0.7300  1 V 2.34
Rh: 0.7300 0.7300 0.2695  1 V 2.34
Rh: 0.7305 0.2700 0.2700  1 V 2.34

Summary:
- Space-group type: No. 166
- Formation energy: -596 kJ/mol of formula units
- Total magnetization: 0.000 μB/atom



# 11
A plane-wave DFT calculation with PBE was carried out for a geometry-optimized YTh2Rh9 structure.

Cell lengths 9.4386, 9.4386, 9.4386 Å; angles 32.55, 32.55, 32.55 degrees
Last column: nearest neighbours and their distance in Å.
Fractional positions:
Y: 0.0000 0.0000 0.0000  6 Rh 3.05
Th: 0.1372 0.1372 0.1372  9 Rh 3.03-3.15
Th: 0.8628 0.8628 0.8628  9 Rh 3.03-3.15
Rh: 0.0804 0.5827 0.5827  7 Rh 2.63-2.74
Rh: 0.3329 0.3329 0.3329  6 Rh 2.66-2.69
Rh: 0.4173 0.4173 0.9196  7 Rh 2.63-2.74
Rh: 0.4173 0.9197 0.4173  7 Rh 2.63-2.74
Rh: 0.5000 0.5000 0.5000  6 Rh 2.74
Rh: 0.5827 0.0803 0.5827  7 Rh 2.63-2.74
Rh: 0.5827 0.5827 0.0803  7 Rh 2.63-2.74
Rh: 0.6671 0.6671 0.6671  6 Rh 2.66-2.69
Rh: 0.9196 0.4173 0.4173  7 Rh 2.63-2.74

Summary:
- Space-group type: No. 166
- Formation energy: -698 kJ/mol of formula units
- Total magnetization: 0.000 μB/atom



# 12
A plane-wave DFT calculation with PBE was carried out for a geometry-optimized YThRh structure.

Cell lengths 7.1160, 5.9453, 10.3740 Å; angles 90.00, 129.82, 90.00 degrees
Last column: nearest neighbours and their distance in Å.
Fractional positions:
Y: 0.2040 0.1409 0.3743  4 Rh 2.84-3.13
Y: 0.2040 0.3591 0.8743  4 Rh 2.84-3.13
Y: 0.7960 0.6409 0.1257  4 Rh 2.84-3.13
Y: 0.7960 0.8591 0.6257  4 Rh 2.84-3.13
Th: 0.3195 0.6455 0.6237  3 Rh 2.71-2.98
Th: 0.3195 0.8545 0.1237  3 Rh 2.71-2.98
Th: 0.6805 0.1455 0.8763  3 Rh 2.71-2.98
Th: 0.6805 0.3545 0.3763  3 Rh 2.71-2.98
Rh: 0.3163 0.6415 0.3531  3 Th 2.71-2.98, 2 Y 2.84-2.99, 1 Rh 2.96
Rh: 0.3163 0.8585 0.8531  3 Th 2.71-2.98, 2 Y 2.84-2.99, 1 Rh 2.96
Rh: 0.6837 0.1415 0.1469  3 Th 2.71-2.98, 2 Y 2.84-2.99, 1 Rh 2.96
Rh: 0.6837 0.3585 0.6469  3 Th 2.71-2.98, 2 Y 2.84-2.99, 1 Rh 2.96

Summary:
- E above lowest polymorph: 90 meV/atom
- Space-group type: No. 14
- Formation energy: -141 kJ/mol of formula units
- Total magnetization: 0.000 μB/atom